(1)
Here is an optimized crystal structure of Pm2YTm5Sc from the Alexandria database. Energies are from PBE.

Properties
Magnetic moment = 0.00 μB per cell
Theoretical density = 7605 kg/m3
Formation energy from the elements = 0.275 eV per atom
Space-group type = I4/mcm (140)

Cell: 9.760 9.760 9.760 Å, 128.49 128.49 75.83°
Positions (direct):
Pm (0.119, 0.619, 0.738)
Pm (0.381, 0.119, 0.500)
Pm (0.619, 0.881, 0.500)
Pm (0.881, 0.381, 0.262)
Y (0.250, 0.250, 0.000)
Y (0.750, 0.750, 0.000)
Tm (0.000, 0.000, 0.000)
Tm (0.067, 0.150, 0.500)
Tm (0.150, 0.650, 0.083)
Tm (0.350, 0.433, 0.500)
Tm (0.433, 0.933, 0.083)
Tm (0.500, 0.500, 0.000)
Tm (0.567, 0.067, 0.917)
Tm (0.650, 0.567, 0.500)
Tm (0.850, 0.350, 0.917)
Tm (0.933, 0.850, 0.500)
Sc (0.250, 0.750, 0.500)
Sc (0.750, 0.250, 0.500)

=====

(2)
Here is an optimized crystal structure of Al2CdSi from the Alexandria database. Energies are from PBE.

Properties
Energy relative to the elements, uncorrected = 0.229 eV/atom
Magnetic moment = 0.00 μB per cell
Theoretical density = 4479 kg/m3
Energy above the most stable polymorph in this dataset = 53 meV per atom
Space-group type = C2/m (12)

Cell: 4.833 4.833 5.371 Å, 101.30 101.30 35.97°
Positions (direct):
Al (0.241, 0.241, 0.230)
Al (0.759, 0.759, 0.770)
Cd (0.000, 0.000, 0.500)
Si (0.500, 0.500, 0.000)

=====

theoretical density of number 1 (Pm2YTm5Sc)? 7605 kg/m3